Model w:
The following is a DFT calculation (PBE) of a relaxed structure of GaMoI2N. Values from VASP.

The structure in Quantum ESPRESSO input format:
```
&SYSTEM
  ibrav = 0, nat = 5, ntyp = 4
/
ATOMIC_SPECIES
I 126.90 I.upf
Mo 95.94 Mo.upf
Ga 69.72 Ga.upf
N 14.01 N.upf
CELL_PARAMETERS angstrom
5.856 0.000 0.000
0.000 5.856 0.000
0.000 0.000 3.601
ATOMIC_POSITIONS crystal
I 0.000 0.500 0.000
I 0.500 0.000 0.000
Mo 0.500 0.500 0.500
Ga 0.000 0.000 0.000
N 0.000 0.000 0.500
```

---

Model x:
The following is a DFT calculation (PBE) of a relaxed structure of GaMoI2N. Values from VASP.

The structure in Quantum ESPRESSO input format:
```
&SYSTEM
  ibrav = 0, nat = 5, ntyp = 4
/
ATOMIC_SPECIES
I 126.90 I.upf
Mo 95.94 Mo.upf
Ga 69.72 Ga.upf
N 14.01 N.upf
CELL_PARAMETERS angstrom
-4.367 2.478 -2.836
2.268 -1.737 -5.009
-2.018 -3.296 0.229
ATOMIC_POSITIONS crystal
I 0.000 0.500 0.000
I 0.500 0.000 0.000
Mo 0.000 0.000 0.000
Ga 0.500 0.500 0.500
N 0.000 0.000 0.500
```

---

It is model x that is most stable; the runner-up trails by 85.9 kJ/mol of atoms.

---

Model w:
The following is a DFT calculation (PBE) of a relaxed structure of GaTe2MoI. Values from VASP.

The structure in Quantum ESPRESSO input format:
```
&SYSTEM
  ibrav = 0, nat = 5, ntyp = 4
/
ATOMIC_SPECIES
I 126.90 I.upf
Mo 95.94 Mo.upf
Te 127.60 Te.upf
Ga 69.72 Ga.upf
CELL_PARAMETERS angstrom
-1.430 -3.120 3.974
-2.822 -2.932 -3.318
4.777 -3.465 -1.002
ATOMIC_POSITIONS crystal
I 0.000 0.000 0.500
Mo 0.000 0.000 0.000
Te 0.000 0.500 0.000
Te 0.500 0.000 0.000
Ga 0.500 0.500 0.500
```

---

Model x:
The following is a DFT calculation (PBE) of a relaxed structure of GaTe2MoI. Values from VASP.

The structure in Quantum ESPRESSO input format:
```
&SYSTEM
  ibrav = 0, nat = 5, ntyp = 4
/
ATOMIC_SPECIES
I 126.90 I.upf
Mo 95.94 Mo.upf
Te 127.60 Te.upf
Ga 69.72 Ga.upf
CELL_PARAMETERS angstrom
-0.346 3.225 -4.318
-5.374 -0.538 0.029
-0.421 4.381 3.306
ATOMIC_POSITIONS crystal
I 0.000 0.000 0.500
Mo 0.500 0.500 0.500
Te 0.000 0.500 0.000
Te 0.500 0.000 0.000
Ga 0.000 0.000 0.000
```

---

It is model w that is most stable; the runner-up trails by 61.4 kJ/mol of atoms.

---

Model w:
The following is a DFT calculation (PBE) of a relaxed structure of Ga2IN. Values from VASP.

The structure in Quantum ESPRESSO input format:
```
&SYSTEM
  ibrav = 0, nat = 4, ntyp = 3
/
ATOMIC_SPECIES
I 126.90 I.upf
Ga 69.72 Ga.upf
N 14.01 N.upf
CELL_PARAMETERS angstrom
2.198 -3.672 -2.284
-2.624 -3.685 -1.753
-0.527 -0.538 -4.792
ATOMIC_POSITIONS crystal
I 0.500 0.500 0.500
Ga 0.250 0.250 0.250
Ga 0.750 0.750 0.750
N 0.000 0.000 0.000
```

---

Model x:
The following is a DFT calculation (PBE) of a relaxed structure of Ga2IN. Values from VASP.

The structure in Quantum ESPRESSO input format:
```
&SYSTEM
  ibrav = 0, nat = 8, ntyp = 3
/
ATOMIC_SPECIES
I 126.90 I.upf
Ga 69.72 Ga.upf
N 14.01 N.upf
CELL_PARAMETERS angstrom
6.441 0.000 0.000
0.000 6.441 0.000
3.220 3.220 4.140
ATOMIC_POSITIONS crystal
I 0.000 0.000 0.000
I 0.750 0.250 0.500
Ga 0.498 0.125 0.250
Ga 0.252 0.625 0.250
Ga 0.375 0.502 0.750
Ga 0.875 0.748 0.750
N 0.500 0.500 0.000
N 0.250 0.750 0.500
```

---

It is model x that is most stable; the runner-up trails by 99.6 kJ/mol of atoms.

---

Model w:
The following is a DFT calculation (PBE) of a relaxed structure of GaIN. Values from VASP.

The structure in Quantum ESPRESSO input format:
```
&SYSTEM
  ibrav = 0, nat = 6, ntyp = 3
/
ATOMIC_SPECIES
Ga 69.72 Ga.upf
I 126.90 I.upf
N 14.01 N.upf
CELL_PARAMETERS angstrom
4.663 -1.700 -0.955
-1.343 4.754 1.079
-3.030 2.888 8.880
ATOMIC_POSITIONS crystal
Ga 0.158 0.339 0.500
Ga 0.842 0.661 0.500
I 0.709 0.849 0.768
I 0.291 0.151 0.232
N 0.781 0.511 0.328
N 0.219 0.489 0.672
```

---

Model x:
The following is a DFT calculation (PBE) of a relaxed structure of GaIN. Values from VASP.

The structure in Quantum ESPRESSO input format:
```
&SYSTEM
  ibrav = 0, nat = 6, ntyp = 3
/
ATOMIC_SPECIES
N 14.01 N.upf
I 126.90 I.upf
Ga 69.72 Ga.upf
CELL_PARAMETERS angstrom
-2.596 -1.532 -1.186
0.368 -2.919 -1.365
-0.519 -3.922 15.922
ATOMIC_POSITIONS crystal
N 0.216 0.150 0.816
N 0.392 0.377 0.616
I 0.521 0.568 0.365
I 0.734 0.661 0.076
Ga 0.725 0.711 0.613
Ga 0.549 0.484 0.813
```

---

It is model x that is most stable; the runner-up trails by 49.4 kJ/mol of atoms.

---

Model w:
The following is a DFT calculation (PBE) of a relaxed structure of GaI3N. Values from VASP.

The structure in Quantum ESPRESSO input format:
```
&SYSTEM
  ibrav = 0, nat = 5, ntyp = 3
/
ATOMIC_SPECIES
I 126.90 I.upf
Ga 69.72 Ga.upf
N 14.01 N.upf
CELL_PARAMETERS angstrom
-0.912 5.520 1.058
-4.733 -1.333 2.871
3.031 -0.420 4.801
ATOMIC_POSITIONS crystal
I 0.000 0.500 0.000
I 0.000 0.000 0.500
I 0.500 0.000 0.000
Ga 0.000 0.000 0.000
N 0.500 0.500 0.500
```

---

Model x:
The following is a DFT calculation (PBE) of a relaxed structure of GaI3N. Values from VASP.

The structure in Quantum ESPRESSO input format:
```
&SYSTEM
  ibrav = 0, nat = 5, ntyp = 3
/
ATOMIC_SPECIES
I 126.90 I.upf
Ga 69.72 Ga.upf
N 14.01 N.upf
CELL_PARAMETERS angstrom
-1.256 -3.221 -3.808
-1.882 -3.330 3.437
-4.618 2.233 -0.365
ATOMIC_POSITIONS crystal
I 0.000 0.500 0.000
I 0.000 0.000 0.500
I 0.500 0.000 0.000
Ga 0.500 0.500 0.500
N 0.000 0.000 0.000
```

---

It is model x that is most stable; the runner-up trails by 20.5 kJ/mol of atoms.

---

Model w:
The following is a DFT calculation (PBE) of a relaxed structure of Ga3IN. Values from VASP.

The structure in Quantum ESPRESSO input format:
```
&SYSTEM
  ibrav = 0, nat = 5, ntyp = 3
/
ATOMIC_SPECIES
I 126.90 I.upf
Ga 69.72 Ga.upf
N 14.01 N.upf
CELL_PARAMETERS angstrom
-3.753 3.171 3.450
-4.516 -1.268 -3.747
-1.250 -4.938 3.178
ATOMIC_POSITIONS crystal
I 0.000 0.000 0.000
Ga 0.000 0.500 0.000
Ga 0.000 0.000 0.500
Ga 0.500 0.000 0.000
N 0.500 0.500 0.500
```

---

Model x:
The following is a DFT calculation (PBE) of a relaxed structure of Ga3IN. Values from VASP.

The structure in Quantum ESPRESSO input format:
```
&SYSTEM
  ibrav = 0, nat = 5, ntyp = 3
/
ATOMIC_SPECIES
I 126.90 I.upf
Ga 69.72 Ga.upf
N 14.01 N.upf
CELL_PARAMETERS angstrom
-0.691 2.000 -4.234
-4.562 0.677 1.065
1.055 4.237 1.829
ATOMIC_POSITIONS crystal
I 0.500 0.500 0.500
Ga 0.000 0.500 0.000
Ga 0.000 0.000 0.500
Ga 0.500 0.000 0.000
N 0.000 0.000 0.000
```

---

It is model x that is most stable; the runner-up trails by 126.1 kJ/mol of atoms.

---

Model w:
The following is a DFT calculation (PBE) of a relaxed structure of NaGaI2N. Values from VASP.

The structure in Quantum ESPRESSO input format:
```
&SYSTEM
  ibrav = 0, nat = 5, ntyp = 4
/
ATOMIC_SPECIES
I 126.90 I.upf
Na 22.99 Na.upf
Ga 69.72 Ga.upf
N 14.01 N.upf
CELL_PARAMETERS angstrom
6.041 0.000 0.000
0.000 6.041 0.000
0.000 0.000 4.718
ATOMIC_POSITIONS crystal
I 0.000 0.500 0.000
I 0.500 0.000 0.000
Na 0.000 0.000 0.000
Ga 0.500 0.500 0.500
N 0.000 0.000 0.500
```

---

Model x:
The following is a DFT calculation (PBE) of a relaxed structure of NaGaI2N. Values from VASP.

The structure in Quantum ESPRESSO input format:
```
&SYSTEM
  ibrav = 0, nat = 5, ntyp = 4
/
ATOMIC_SPECIES
I 126.90 I.upf
Na 22.99 Na.upf
Ga 69.72 Ga.upf
N 14.01 N.upf
CELL_PARAMETERS angstrom
-4.775 -0.555 3.518
1.748 -5.492 1.507
1.949 1.408 2.868
ATOMIC_POSITIONS crystal
I 0.000 0.500 0.000
I 0.500 0.000 0.000
Na 0.500 0.500 0.500
Ga 0.000 0.000 0.000
N 0.000 0.000 0.500
```

---

It is model x that is most stable; the runner-up trails by 51.4 kJ/mol of atoms.

---

Model w:
The following is a DFT calculation (PBE) of a relaxed structure of NbGaIN2. Values from VASP.

The structure in Quantum ESPRESSO input format:
```
&SYSTEM
  ibrav = 0, nat = 5, ntyp = 4
/
ATOMIC_SPECIES
I 126.90 I.upf
Nb 92.91 Nb.upf
Ga 69.72 Ga.upf
N 14.01 N.upf
CELL_PARAMETERS angstrom
3.964 0.000 0.000
0.000 3.964 0.000
0.000 0.000 5.398
ATOMIC_POSITIONS crystal
I 0.000 0.000 0.500
Nb 0.500 0.500 0.500
Ga 0.000 0.000 0.000
N 0.000 0.500 0.000
N 0.500 0.000 0.000
```

---

Model x:
The following is a DFT calculation (PBE) of a relaxed structure of NbGaIN2. Values from VASP.

The structure in Quantum ESPRESSO input format:
```
&SYSTEM
  ibrav = 0, nat = 5, ntyp = 4
/
ATOMIC_SPECIES
I 126.90 I.upf
Nb 92.91 Nb.upf
Ga 69.72 Ga.upf
N 14.01 N.upf
CELL_PARAMETERS angstrom
-3.043 -2.615 -1.008
1.584 -2.832 2.565
-3.271 2.124 4.365
ATOMIC_POSITIONS crystal
I 0.000 0.000 0.500
Nb 0.000 0.000 0.000
Ga 0.500 0.500 0.500
N 0.000 0.500 0.000
N 0.500 0.000 0.000
```

---

It is model x that is most stable; the runner-up trails by 115.0 kJ/mol of atoms.

---

Model w:
The following is a DFT calculation (PBE) of a relaxed structure of NbGaI2N. Values from VASP.

The structure in Quantum ESPRESSO input format:
```
&SYSTEM
  ibrav = 0, nat = 5, ntyp = 4
/
ATOMIC_SPECIES
I 126.90 I.upf
Nb 92.91 Nb.upf
Ga 69.72 Ga.upf
N 14.01 N.upf
CELL_PARAMETERS angstrom
5.795 0.000 0.000
0.000 5.795 0.000
0.000 0.000 3.534
ATOMIC_POSITIONS crystal
I 0.000 0.500 0.000
I 0.500 0.000 0.000
Nb 0.500 0.500 0.500
Ga 0.000 0.000 0.000
N 0.000 0.000 0.500
```

---

Model x:
The following is a DFT calculation (PBE) of a relaxed structure of NbGaI2N. Values from VASP.

The structure in Quantum ESPRESSO input format:
```
&SYSTEM
  ibrav = 0, nat = 5, ntyp = 4
/
ATOMIC_SPECIES
I 126.90 I.upf
Nb 92.91 Nb.upf
Ga 69.72 Ga.upf
N 14.01 N.upf
CELL_PARAMETERS angstrom
-3.124 -4.811 -1.195
4.954 -3.082 -0.545
-0.123 -0.882 3.871
ATOMIC_POSITIONS crystal
I 0.000 0.500 0.000
I 0.500 0.000 0.000
Nb 0.000 0.000 0.000
Ga 0.500 0.500 0.500
N 0.000 0.000 0.500
```

---

It is model x that is most stable; the runner-up trails by 85.7 kJ/mol of atoms.

---

Model w:
The following is a DFT calculation (PBE) of a relaxed structure of GaOsIN2. Values from VASP.

The structure in Quantum ESPRESSO input format:
```
&SYSTEM
  ibrav = 0, nat = 5, ntyp = 4
/
ATOMIC_SPECIES
I 126.90 I.upf
Os 190.23 Os.upf
Ga 69.72 Ga.upf
N 14.01 N.upf
CELL_PARAMETERS angstrom
3.937 0.000 0.000
0.000 3.937 0.000
0.000 0.000 5.758
ATOMIC_POSITIONS crystal
I 0.000 0.000 0.500
Os 0.000 0.000 0.000
Ga 0.500 0.500 0.500
N 0.000 0.500 0.000
N 0.500 0.000 0.000
```

---

Model x:
The following is a DFT calculation (PBE) of a relaxed structure of GaOsIN2. Values from VASP.

The structure in Quantum ESPRESSO input format:
```
&SYSTEM
  ibrav = 0, nat = 5, ntyp = 4
/
ATOMIC_SPECIES
I 126.90 I.upf
Os 190.23 Os.upf
Ga 69.72 Ga.upf
N 14.01 N.upf
CELL_PARAMETERS angstrom
3.811 0.000 0.000
0.000 3.811 0.000
0.000 0.000 6.671
ATOMIC_POSITIONS crystal
I 0.000 0.000 0.500
Os 0.500 0.500 0.500
Ga 0.000 0.000 0.000
N 0.000 0.500 0.000
N 0.500 0.000 0.000
```

---

It is model w that is most stable; the runner-up trails by 118.1 kJ/mol of atoms.

---

Model w:
The following is a DFT calculation (PBE) of a relaxed structure of GaPbIN2. Values from VASP.

The structure in Quantum ESPRESSO input format:
```
&SYSTEM
  ibrav = 0, nat = 5, ntyp = 4
/
ATOMIC_SPECIES
Pb 207.20 Pb.upf
I 126.90 I.upf
Ga 69.72 Ga.upf
N 14.01 N.upf
CELL_PARAMETERS angstrom
-3.346 1.192 2.791
1.064 -3.429 2.741
4.309 4.074 3.424
ATOMIC_POSITIONS crystal
Pb 0.000 0.000 0.000
I 0.000 0.000 0.500
Ga 0.500 0.500 0.500
N 0.000 0.500 0.000
N 0.500 0.000 0.000
```

---

Model x:
The following is a DFT calculation (PBE) of a relaxed structure of GaPbIN2. Values from VASP.

The structure in Quantum ESPRESSO input format:
```
&SYSTEM
  ibrav = 0, nat = 5, ntyp = 4
/
ATOMIC_SPECIES
Pb 207.20 Pb.upf
I 126.90 I.upf
Ga 69.72 Ga.upf
N 14.01 N.upf
CELL_PARAMETERS angstrom
-3.522 -2.064 1.486
1.808 -3.817 -1.017
2.781 -0.321 6.146
ATOMIC_POSITIONS crystal
Pb 0.500 0.500 0.500
I 0.000 0.000 0.500
Ga 0.000 0.000 0.000
N 0.000 0.500 0.000
N 0.500 0.000 0.000
```

---

It is model x that is most stable; the runner-up trails by 7.1 kJ/mol of atoms.

---

Model w:
The following is a DFT calculation (PBE) of a relaxed structure of GaPtI2N. Values from VASP.

The structure in Quantum ESPRESSO input format:
```
&SYSTEM
  ibrav = 0, nat = 5, ntyp = 4
/
ATOMIC_SPECIES
I 126.90 I.upf
Ga 69.72 Ga.upf
Pt 195.08 Pt.upf
N 14.01 N.upf
CELL_PARAMETERS angstrom
5.878 0.000 0.000
0.000 5.878 0.000
0.000 0.000 3.760
ATOMIC_POSITIONS crystal
I 0.000 0.500 0.000
I 0.500 0.000 0.000
Ga 0.500 0.500 0.500
Pt 0.000 0.000 0.000
N 0.000 0.000 0.500
```

---

Model x:
The following is a DFT calculation (PBE) of a relaxed structure of GaPtI2N. Values from VASP.

The structure in Quantum ESPRESSO input format:
```
&SYSTEM
  ibrav = 0, nat = 5, ntyp = 4
/
ATOMIC_SPECIES
I 126.90 I.upf
Ga 69.72 Ga.upf
Pt 195.08 Pt.upf
N 14.01 N.upf
CELL_PARAMETERS angstrom
-2.707 2.939 4.216
-4.653 0.623 -3.421
-1.301 -2.962 1.230
ATOMIC_POSITIONS crystal
I 0.000 0.500 0.000
I 0.500 0.000 0.000
Ga 0.000 0.000 0.000
Pt 0.500 0.500 0.500
N 0.000 0.000 0.500
```

---

It is model w that is most stable; the runner-up trails by 60.4 kJ/mol of atoms.